Arrangement 1

{
  "formula": "SrTiBi3",
  "functional": "PBE",
  "state": "optimized geometry",
  "dos_ef_per_ev_cell": 3.20,
  "lattice_angstrom": [[5.5054, 0.0000, 0.0000], [0.0000, 5.5054, 0.0000], [0.0000, 0.0000, 5.5054]],
  "species": ["Sr", "Ti", "Bi", "Bi", "Bi"],
  "fractional_positions": [[0.0000, 0.0000, 0.0000], [0.5000, 0.5000, 0.5000], [0.0000, 0.5000, 0.5000], [0.5000, 0.0000, 0.5000], [0.5000, 0.5000, 0.0000]]
}

Arrangement 2

{
  "formula": "SrTiBi3",
  "functional": "PBE",
  "state": "optimized geometry",
  "dos_ef_per_ev_cell": 14.98,
  "lattice_angstrom": [[14.4495, 0.0000, 0.0000], [0.0000, 6.6047, 0.0000], [0.0000, 0.0000, 6.4673]],
  "species": ["Sr", "Sr", "Sr", "Sr", "Ti", "Ti", "Ti", "Ti", "Bi", "Bi", "Bi", "Bi", "Bi", "Bi", "Bi", "Bi", "Bi", "Bi", "Bi", "Bi"],
  "fractional_positions": [[0.1917, 0.0128, 0.2500], [0.1917, 0.4872, 0.7500], [0.8083, 0.5128, 0.2500], [0.8083, 0.9872, 0.7500], [0.4110, 0.7500, 0.0000], [0.4110, 0.7500, 0.5000], [0.5890, 0.2500, 0.0000], [0.5890, 0.2500, 0.5000], [0.0042, 0.7500, 0.0000], [0.0042, 0.7500, 0.5000], [0.2885, 0.5094, 0.2500], [0.2885, 0.9906, 0.7500], [0.4340, 0.1103, 0.2500], [0.4340, 0.3897, 0.7500], [0.5660, 0.6103, 0.2500], [0.5660, 0.8897, 0.7500], [0.7115, 0.0094, 0.2500], [0.7115, 0.4906, 0.7500], [0.9958, 0.2500, 0.0000], [0.9958, 0.2500, 0.5000]]
}

Name the most stable of them. arrangement 2.

Arrangement 1

{
  "formula": "SrTlBi",
  "functional": "PBE",
  "state": "optimized geometry",
  "dos_ef_per_ev_cell": 4.89,
  "lattice_angstrom": [[12.3688, 0.0000, 0.0000], [0.0000, 4.7493, 0.0000], [-3.9357, 0.0000, 7.3363]],
  "species": ["Sr", "Sr", "Sr", "Sr", "Tl", "Tl", "Tl", "Tl", "Bi", "Bi", "Bi", "Bi"],
  "fractional_positions": [[0.0627, 0.0000, 0.3135], [0.4373, 0.5000, 0.6865], [0.5627, 0.5000, 0.3135], [0.9373, 0.0000, 0.6865], [0.1582, 0.5000, 0.0759], [0.3418, 0.0000, 0.9241], [0.6582, 0.0000, 0.0759], [0.8418, 0.5000, 0.9241], [0.1481, 0.5000, 0.6763], [0.3519, 0.0000, 0.3237], [0.6481, 0.0000, 0.6763], [0.8519, 0.5000, 0.3237]]
}

Arrangement 2

{
  "formula": "SrTlBi",
  "functional": "PBE",
  "state": "optimized geometry",
  "lattice_angstrom": [[4.9496, 0.0000, 0.0000], [-2.4748, 4.2865, 0.0000], [0.0000, 0.0000, 5.1138]],
  "species": ["Sr", "Tl", "Bi"],
  "fractional_positions": [[0.0000, 0.0000, 0.0000], [0.3333, 0.6667, 0.6377], [0.6667, 0.3333, 0.3634]]
}

Name the most stable of them. arrangement 2.

Arrangement 1

{
  "formula": "SrTlBi",
  "functional": "PBE",
  "state": "optimized geometry",
  "dos_ef_per_ev_cell": 1.44,
  "lattice_angstrom": [[4.6694, 0.0000, 0.0000], [0.0000, 4.6694, 0.0000], [0.0000, 0.0000, 9.8519]],
  "species": ["Sr", "Sr", "Tl", "Tl", "Bi", "Bi"],
  "fractional_positions": [[0.0000, 0.0000, 0.0000], [0.5000, 0.5000, 0.5000], [0.0000, 0.0000, 0.6755], [0.5000, 0.5000, 0.1755], [0.0000, 0.0000, 0.3473], [0.5000, 0.5000, 0.8473]]
}

Arrangement 2

{
  "formula": "SrTlBi",
  "functional": "PBE",
  "state": "optimized geometry",
  "dos_ef_per_ev_cell": 2.37,
  "lattice_angstrom": [[9.7171, 0.0000, 0.0000], [0.0000, 6.8465, 0.0000], [0.0000, 0.0000, 6.7129]],
  "species": ["Sr", "Sr", "Sr", "Sr", "Tl", "Tl", "Tl", "Tl", "Bi", "Bi", "Bi", "Bi"],
  "fractional_positions": [[0.1740, 0.2500, 0.0626], [0.3260, 0.7500, 0.5626], [0.6740, 0.2500, 0.4374], [0.8260, 0.7500, 0.9374], [0.0192, 0.2500, 0.5295], [0.4808, 0.7500, 0.0295], [0.5192, 0.2500, 0.9705], [0.9808, 0.7500, 0.4705], [0.1662, 0.7500, 0.0794], [0.3338, 0.2500, 0.5794], [0.6662, 0.7500, 0.4206], [0.8338, 0.2500, 0.9206]]
}

Arrangement 3

{
  "formula": "SrTlBi",
  "functional": "PBE",
  "state": "optimized geometry",
  "dos_ef_per_ev_cell": 10.30,
  "lattice_angstrom": [[4.8647, 0.0000, 0.0000], [0.0000, 4.8647, 0.0000], [0.0000, 0.0000, 18.1315]],
  "species": ["Sr", "Sr", "Sr", "Sr", "Tl", "Tl", "Tl", "Tl", "Bi", "Bi", "Bi", "Bi"],
  "fractional_positions": [[0.0000, 0.0000, 0.1661], [0.0000, 0.0000, 0.8339], [0.5000, 0.5000, 0.3339], [0.5000, 0.5000, 0.6661], [0.0000, 0.5000, 0.0000], [0.0000, 0.5000, 0.5000], [0.5000, 0.0000, 0.0000], [0.5000, 0.0000, 0.5000], [0.0000, 0.0000, 0.3574], [0.0000, 0.0000, 0.6426], [0.5000, 0.5000, 0.1426], [0.5000, 0.5000, 0.8574]]
}

Name the most stable of them. arrangement 3.

Arrangement 1

{
  "formula": "SrTl3Bi",
  "functional": "PBE",
  "state": "optimized geometry",
  "dos_ef_per_ev_cell": 2.74,
  "lattice_angstrom": [[6.0934, 0.0000, 0.0000], [0.0000, 6.0934, 0.0000], [0.0000, 0.0000, 6.0934]],
  "species": ["Sr", "Tl", "Tl", "Tl", "Bi"],
  "fractional_positions": [[0.0000, 0.0000, 0.0000], [0.0000, 0.0000, 0.5000], [0.0000, 0.5000, 0.0000], [0.5000, 0.0000, 0.0000], [0.5000, 0.5000, 0.5000]]
}

Arrangement 2

{
  "formula": "SrTl3Bi",
  "functional": "PBE",
  "state": "optimized geometry",
  "dos_ef_per_ev_cell": 7.15,
  "lattice_angstrom": [[-2.9502, 2.9502, 12.4755], [2.9502, -2.9502, 12.4755], [2.9502, 2.9502, -12.4755]],
  "species": ["Sr", "Sr", "Tl", "Tl", "Tl", "Tl", "Tl", "Tl", "Bi", "Bi"],
  "fractional_positions": [[0.1858, 0.1858, 0.0000], [0.8142, 0.8142, 0.0000], [0.3673, 0.6198, 0.7475], [0.3802, 0.1278, 0.7475], [0.3802, 0.6327, 0.2525], [0.5668, 0.0668, 0.5000], [0.8722, 0.6198, 0.2525], [0.9332, 0.4332, 0.5000], [0.2500, 0.7500, 0.5000], [0.5000, 0.5000, 0.0000]]
}

Arrangement 3

{
  "formula": "SrTl3Bi",
  "functional": "PBE",
  "state": "optimized geometry",
  "dos_ef_per_ev_cell": 3.12,
  "lattice_angstrom": [[6.0302, 0.0000, 0.0000], [0.0000, 6.0302, 0.0000], [0.0000, 0.0000, 6.0302]],
  "species": ["Sr", "Tl", "Tl", "Tl", "Bi"],
  "fractional_positions": [[0.0000, 0.0000, 0.0000], [0.0000, 0.5000, 0.5000], [0.5000, 0.0000, 0.5000], [0.5000, 0.5000, 0.0000], [0.5000, 0.5000, 0.5000]]
}

Name the most stable of them. arrangement 2.